A relaxed SrReRu2 crystal, computed with GGA-PBE.

a b c (Å): 2.846 4.862 10.365
angles (deg): 90.00 90.00 90.00
Positions (direct):
Sr 0.000 0.000 0.000
Sr 0.500 0.500 0.500
Re 0.000 0.500 0.786
Re 0.500 0.000 0.286
Ru 0.000 0.000 0.499
Ru 0.000 0.500 0.217
Ru 0.500 0.000 0.717
Ru 0.500 0.500 0.999

DFT formation energy	725	meV per atom
N(E_F)	4.83	states/eV/f.u.
calculated density	11.02	g cm⁻³
E_tot	-7.45	eV/atom
volume	17.93	Å³ per atom